Entry from Alexandria via LeMat-Bulk: an optimized crystal structure of Tb6Dy12Tm (PBE).

Summary:
SG = R-3m
Total moment = 0.0000 μB per atom
Energy above the most stable polymorph in this dataset = 0.303 eV per atom
Fermi-level density of states = 31.6 states/eV/f.u.

Geometry as POSCAR:
```
Tb6Dy12Tm
1.0
7.485 4.321 3.383
-7.485 4.321 3.383
0.000 -8.643 3.383
Tb Dy Tm
6 12 1
Cartesian
-2.911 -1.680 5.582
0.000 -3.361 4.568
-2.911 1.680 4.568
2.911 -1.680 5.582
0.000 3.361 5.582
2.911 1.680 4.568
-1.747 -1.008 2.512
-2.905 -5.032 5.075
-5.811 0.000 5.075
1.747 -1.008 2.512
0.000 2.017 2.512
2.905 -5.032 5.075
-2.905 5.032 5.075
0.000 -2.017 7.638
-1.747 1.008 7.638
5.811 0.000 5.075
2.905 5.032 5.075
1.747 1.008 7.638
0.000 0.000 0.000
```

Entry from Alexandria via LeMat-Bulk: an optimized crystal structure of Tb2Dy5Tm3 (PBE).

Summary:
SG = C2/c
Total moment = 0.0000 μB per atom
Energy above the most stable polymorph in this dataset = 0.076 eV per atom
Fermi-level density of states = 18.4 states/eV/f.u.

Geometry as POSCAR:
```
Tb2Dy5Tm3
1.0
5.291 -7.798 0.000
5.291 7.798 0.000
-5.237 0.000 7.779
Tb Dy Tm
4 10 6
Cartesian
1.249 1.931 0.362
-1.369 -1.931 4.251
6.714 1.931 3.528
4.096 -1.931 7.417
-1.263 1.800 6.081
1.363 4.181 5.834
3.982 3.555 1.945
1.355 -1.800 2.192
3.982 0.473 1.945
1.363 -0.473 5.834
3.989 1.800 5.587
1.363 -3.555 5.834
3.982 -4.181 1.945
6.608 -1.800 1.698
1.363 7.401 5.834
1.255 1.860 3.519
-1.364 -1.860 7.408
6.708 1.860 0.371
4.090 -1.860 4.260
3.982 -7.401 1.945
```

Entry from Alexandria via LeMat-Bulk: an optimized crystal structure of Tb5Dy2Tm3 (PBE).

Summary:
SG = Ibam
Total moment = 0.0000 μB per atom
Energy above the most stable polymorph in this dataset = 0.000 eV per atom
Fermi-level density of states = 13.8 states/eV/f.u.

Geometry as POSCAR:
```
Tb5Dy2Tm3
1.0
-3.307 13.802 3.466
3.307 -13.802 3.466
3.307 13.802 -3.466
Tb Dy Tm
10 4 6
Cartesian
3.307 -5.063 1.733
0.266 5.775 0.000
0.000 0.000 1.733
3.573 8.027 0.000
3.307 5.063 1.733
0.000 8.740 1.733
-0.266 5.775 3.466
0.000 0.000 5.198
3.042 8.027 3.466
0.000 18.865 1.733
5.147 2.638 0.000
1.839 11.165 0.000
1.468 2.638 3.466
-1.839 11.165 3.466
1.812 2.507 0.000
3.307 0.000 1.733
1.812 -2.507 3.466
1.496 16.309 0.000
0.000 13.802 1.733
1.496 11.296 3.466
```